[1]
ZnIBr2: optimized geometry, GGA-PBE.

Summary:
Its uncorrected formation energy is -602 meV/atom. As for the crystal system: triclinic.

The structure in CIF format:
```
data_ZnIBr2
_symmetry_space_group_name_H-M 'P 1'
_symmetry_Int_Tables_number 1
_cell_length_a 6.5641
_cell_length_b 6.5895
_cell_length_c 9.7825
_cell_angle_alpha 87.95
_cell_angle_beta 70.46
_cell_angle_gamma 61.01
loop_
_symmetry_equiv_pos_as_xyz
'x,y,z'
loop_
_atom_site_label
_atom_site_type_symbol
_atom_site_fract_x
_atom_site_fract_y
_atom_site_fract_z
Zn1 Zn 0.0000 0.0000 0.0000
Zn2 Zn 0.2769 0.2837 0.0020
I1 I 0.4781 0.4540 0.4328
I2 I 0.9772 0.6915 0.5822
Br1 Br 0.0976 0.1093 0.2014
Br2 Br 0.3302 0.0269 0.7984
Br3 Br 0.6225 0.3389 0.9746
Br4 Br 0.9147 0.6834 0.0345
```


[2]
PuCuP2O8: optimized geometry, GGA-PBE.

Summary:
Its uncorrected formation energy is -2046 meV/atom. As for the crystal system: trigonal.

The structure in CIF format:
```
data_PuCuP2O8
_symmetry_space_group_name_H-M 'P -3'
_symmetry_Int_Tables_number 147
_cell_length_a 5.1249
_cell_length_b 5.1249
_cell_length_c 6.6160
_cell_angle_alpha 90.00
_cell_angle_beta 90.00
_cell_angle_gamma 120.00
loop_
_symmetry_equiv_pos_as_xyz
'x,y,z'
'-x,-y,-z'
'-y,x-y,z'
'y,-x+y,-z'
'-x+y,-x,z'
'x-y,x,-z'
loop_
_atom_site_label
_atom_site_type_symbol
_atom_site_fract_x
_atom_site_fract_y
_atom_site_fract_z
Pu1 Pu 0.0000 0.0000 0.0000
Cu1 Cu 0.0000 0.0000 0.5000
P1 P 0.3333 0.6667 0.7862
O1 O 0.1647 0.3339 0.7166
O2 O 0.3333 0.6667 0.0195
```


[3]
Mg5Cd2In12: optimized geometry, GGA-PBE.

Summary:
The calculation puts the energy of formation at 0.052 eV/atom. As for the crystal system: monoclinic.

The structure in CIF format:
```
data_Mg5Cd2In12
_symmetry_space_group_name_H-M 'C 1 2/m 1'
_symmetry_Int_Tables_number 12
_cell_length_a 13.5300
_cell_length_b 8.0228
_cell_length_c 9.6709
_cell_angle_alpha 90.00
_cell_angle_beta 100.67
_cell_angle_gamma 90.00
loop_
_symmetry_equiv_pos_as_xyz
'x,y,z'
'-x,-y,-z'
'-x,y,-z'
'x,-y,z'
'x+1/2,y+1/2,z'
'-x+1/2,-y+1/2,-z'
'-x+1/2,y+1/2,-z'
'x+1/2,-y+1/2,z'
loop_
_atom_site_label
_atom_site_type_symbol
_atom_site_fract_x
_atom_site_fract_y
_atom_site_fract_z
Mg1 Mg 0.0000 0.0000 0.0000
Mg2 Mg 0.1566 0.5000 0.3800
Mg3 Mg 0.2316 0.0000 0.0393
Cd1 Cd 0.0000 0.2601 0.5000
In1 In 0.0548 0.5000 0.7779
In2 In 0.0897 0.0000 0.7264
In3 In 0.1140 0.3057 0.0914
In4 In 0.2261 0.3078 0.6526
```


[4]
Pr12Ho6Sc: optimized geometry, GGA-PBE.

Summary:
The calculation puts the energy of formation at 0.131 eV/atom. As for the crystal system: trigonal.

The structure in CIF format:
```
data_Pr12Ho6Sc
_symmetry_space_group_name_H-M 'R -3'
_symmetry_Int_Tables_number 148
_symmetry_space_group_name_Hall '-R 3'
_cell_length_a 12.2040
_cell_length_b 12.2040
_cell_length_c 15.3003
_cell_angle_alpha 90.00
_cell_angle_beta 90.00
_cell_angle_gamma 120.00
loop_
_atom_site_label
_atom_site_type_symbol
_atom_site_fract_x
_atom_site_fract_y
_atom_site_fract_z
Pr1 Pr 0.0021 0.1724 0.3106
Pr2 Pr 0.0495 0.8503 0.9150
Ho1 Ho 0.0218 0.4312 0.1894
Sc1 Sc 0.0000 0.0000 0.5000
```


[5]
Ac5Tb2Pr12: optimized geometry, GGA-PBE.

Summary:
The calculation puts the energy of formation at 0.139 eV/atom. As for the crystal system: monoclinic.

The structure in CIF format:
```
data_Ac5Tb2Pr12
_symmetry_space_group_name_H-M 'C 1 2/m 1'
_symmetry_Int_Tables_number 12
_cell_length_a 23.2977
_cell_length_b 7.4265
_cell_length_c 9.0965
_cell_angle_alpha 90.00
_cell_angle_beta 110.84
_cell_angle_gamma 90.00
loop_
_symmetry_equiv_pos_as_xyz
'x,y,z'
'-x,-y,-z'
'-x,y,-z'
'x,-y,z'
'x+1/2,y+1/2,z'
'-x+1/2,-y+1/2,-z'
'-x+1/2,y+1/2,-z'
'x+1/2,-y+1/2,z'
loop_
_atom_site_label
_atom_site_type_symbol
_atom_site_fract_x
_atom_site_fract_y
_atom_site_fract_z
Ac1 Ac 0.0000 0.0000 0.0000
Ac2 Ac 0.1511 0.5000 0.5895
Ac3 Ac 0.2454 0.0000 0.9848
Tb1 Tb 0.0000 0.2588 0.5000
Pr1 Pr 0.0466 0.5000 0.1928
Pr2 Pr 0.1051 0.2609 0.8760
Pr3 Pr 0.1391 0.0000 0.5487
Pr4 Pr 0.1992 0.2528 0.2897
```


[6]
Cr2Sb2Pb: optimized geometry, GGA-PBE.

Summary:
Its uncorrected formation energy is 441 meV/atom. As for the crystal system: tetragonal.

The structure in CIF format:
```
data_Cr2Sb2Pb
_symmetry_space_group_name_H-M 'I 4/m m m'
_symmetry_Int_Tables_number 139
_symmetry_space_group_name_Hall '-I 4 2'
_cell_length_a 5.0012
_cell_length_b 5.0012
_cell_length_c 8.8442
_cell_angle_alpha 90.00
_cell_angle_beta 90.00
_cell_angle_gamma 90.00
loop_
_atom_site_label
_atom_site_type_symbol
_atom_site_fract_x
_atom_site_fract_y
_atom_site_fract_z
Cr1 Cr 0.0000 0.0000 0.1049
Sb1 Sb 0.0000 0.5000 0.2500
Pb1 Pb 0.0000 0.0000 0.5000
```


[7]
LiSbSCl2: optimized geometry, GGA-PBE.

Summary:
Its uncorrected formation energy is -7 meV/atom. As for the crystal system: tetragonal.

The structure in CIF format:
```
data_LiSbSCl2
_symmetry_space_group_name_H-M 'P 4/m m m'
_symmetry_Int_Tables_number 123
_symmetry_space_group_name_Hall '-P 4 2'
_cell_length_a 5.1633
_cell_length_b 5.1633
_cell_length_c 6.2111
_cell_angle_alpha 90.00
_cell_angle_beta 90.00
_cell_angle_gamma 90.00
loop_
_atom_site_label
_atom_site_type_symbol
_atom_site_fract_x
_atom_site_fract_y
_atom_site_fract_z
Li1 Li 0.0000 0.0000 0.0000
Sb1 Sb 0.0000 0.0000 0.5000
S1 S 0.5000 0.5000 0.0000
Cl1 Cl 0.0000 0.5000 0.5000
```


[8]
Pu2UVN4: optimized geometry, GGA-PBE.

Summary:
Its uncorrected formation energy is -1050 meV/atom. As for the crystal system: orthorhombic.

The structure in CIF format:
```
data_Pu2UVN4
_symmetry_space_group_name_H-M 'C m c m'
_symmetry_Int_Tables_number 63
_symmetry_space_group_name_Hall '-C 2c 2'
_cell_length_a 3.2556
_cell_length_b 11.5058
_cell_length_c 11.5490
_cell_angle_alpha 90.00
_cell_angle_beta 90.00
_cell_angle_gamma 90.00
loop_
_atom_site_label
_atom_site_type_symbol
_atom_site_fract_x
_atom_site_fract_y
_atom_site_fract_z
Pu1 Pu 0.0000 0.1329 0.0503
U1 U 0.0000 0.3850 0.2500
V1 V 0.0000 0.3521 0.7500
N1 N 0.0000 0.0374 0.2500
N2 N 0.0000 0.2215 0.6316
N3 N 0.0000 0.5000 0.0000
```


[9]
TbCdHg: optimized geometry, GGA-PBE.

Summary:
The calculation puts the energy of formation at -0.245 eV/atom. As for the crystal system: cubic.

The structure in CIF format:
```
data_TbCdHg
_symmetry_space_group_name_H-M 'F -4 3 m'
_symmetry_Int_Tables_number 216
_symmetry_space_group_name_Hall 'F -4 2 3'
_cell_length_a 6.9246
_cell_length_b 6.9246
_cell_length_c 6.9246
_cell_angle_alpha 90.00
_cell_angle_beta 90.00
_cell_angle_gamma 90.00
loop_
_atom_site_label
_atom_site_type_symbol
_atom_site_fract_x
_atom_site_fract_y
_atom_site_fract_z
Tb1 Tb 0.0000 0.0000 0.0000
Cd1 Cd 0.0000 0.0000 0.5000
Hg1 Hg 0.2500 0.2500 0.2500
```


[10]
Ce2Be4Si3Os: optimized geometry, GGA-PBE.

Summary:
Its uncorrected formation energy is -397 meV/atom. As for the crystal system: tetragonal.

The structure in CIF format:
```
data_Ce2Be4Si3Os
_symmetry_space_group_name_H-M 'P -4 m 2'
_symmetry_Int_Tables_number 115
_cell_length_a 3.8977
_cell_length_b 3.8977
_cell_length_c 9.7466
_cell_angle_alpha 90.00
_cell_angle_beta 90.00
_cell_angle_gamma 90.00
loop_
_symmetry_equiv_pos_as_xyz
'x,y,z'
'y,-x,-z'
'-x,-y,z'
'-y,x,-z'
'-x,y,z'
'-y,-x,-z'
'x,-y,z'
'y,x,-z'
loop_
_atom_site_label
_atom_site_type_symbol
_atom_site_fract_x
_atom_site_fract_y
_atom_site_fract_z
Ce1 Ce 0.0000 0.5000 0.2479
Be1 Be 0.0000 0.0000 0.0000
Be2 Be 0.0000 0.5000 0.6299
Be3 Be 0.5000 0.5000 0.0000
Si1 Si 0.0000 0.5000 0.8712
Si2 Si 0.5000 0.5000 0.5000
Os1 Os 0.0000 0.0000 0.5000
```


[11]
Np2ScUS4: optimized geometry, GGA-PBE.

Summary:
Its uncorrected formation energy is -1469 meV/atom. As for the crystal system: monoclinic.

The structure in CIF format:
```
data_Np2ScUS4
_symmetry_space_group_name_H-M 'P 1 2/m 1'
_symmetry_Int_Tables_number 10
_cell_length_a 6.6315
_cell_length_b 3.8214
_cell_length_c 6.6880
_cell_angle_alpha 90.00
_cell_angle_beta 109.17
_cell_angle_gamma 90.00
loop_
_symmetry_equiv_pos_as_xyz
'x,y,z'
'-x,-y,-z'
'-x,y,-z'
'x,-y,z'
loop_
_atom_site_label
_atom_site_type_symbol
_atom_site_fract_x
_atom_site_fract_y
_atom_site_fract_z
Np1 Np 0.0000 0.0000 0.0000
Np2 Np 0.0000 0.5000 0.5000
Sc1 Sc 0.5000 0.0000 0.5000
U1 U 0.5000 0.5000 0.0000
S1 S 0.2572 0.0000 0.7423
S2 S 0.2629 0.5000 0.2609
```


[12]
Li6Pt: optimized geometry, GGA-PBE.

Summary:
The calculation puts the energy of formation at 0.547 eV/atom. As for the crystal system: cubic.

The structure in CIF format:
```
data_Li6Pt
_symmetry_space_group_name_H-M 'I m -3 m'
_symmetry_Int_Tables_number 229
_symmetry_space_group_name_Hall '-I 4 2 3'
_cell_length_a 5.9287
_cell_length_b 5.9287
_cell_length_c 5.9287
_cell_angle_alpha 90.00
_cell_angle_beta 90.00
_cell_angle_gamma 90.00
loop_
_atom_site_label
_atom_site_type_symbol
_atom_site_fract_x
_atom_site_fract_y
_atom_site_fract_z
Li1 Li 0.0000 0.2500 0.5000
Pt1 Pt 0.0000 0.0000 0.0000
```